{
  "formula": "MgSn3",
  "functional": "PBE",
  "state": "optimized geometry",
  "n_ef_per_ev_cell": 3.91,
  "total_energy_ev_per_fu": -13.640,
  "ef_ev_per_atom": -0.009,
  "lattice_angstrom": [[-0.990, -0.371, 6.615], [-5.233, -0.093, -4.181], [0.299, -5.341, -0.255]],
  "species": ["Mg", "Mg", "Sn", "Sn", "Sn", "Sn", "Sn", "Sn"],
  "fractional_positions": [[0.667, 0.333, 0.250], [0.333, 0.667, 0.750], [0.171, 0.341, 0.250], [0.659, 0.829, 0.250], [0.171, 0.829, 0.250], [0.829, 0.171, 0.750], [0.341, 0.171, 0.750], [0.829, 0.659, 0.750]]
}